# CoTcBrN2

A relaxed CoTcBrN2 crystal (PBE-GGA, the Alexandria database).

Computed properties:
- Electronic total energy: -29.13 eV per cell
- Magnetization: 2.49 μB per formula unit

Cell: 3.604 5.507 3.604 Å, 90.00 90.00 90.00°
Fractional positions:
1 Co 0.000 0.000 0.000
2 Tc 0.000 0.500 0.000
3 Br 0.500 0.500 0.500
4 N 0.000 0.000 0.500
5 N 0.500 0.000 0.000



# Ba2TlGaAu

A relaxed Ba2TlGaAu crystal (PBE-GGA, the Alexandria database).

Computed properties:
- Formation enthalpy at 0 K: -1.8 eV/f.u.
- Magnetization: 0.00 μB per formula unit

Cell: 6.384 6.384 4.864 Å, 90.00 90.00 90.00°
Fractional positions:
1 Tl 0.500 0.500 0.500
2 Au 0.000 0.000 0.000
3 Ba 0.000 0.500 0.000
4 Ba 0.500 0.000 0.000
5 Ga 0.000 0.000 0.500



# Pr3TlCCl

A relaxed Pr3TlCCl crystal (PBE-GGA, the Alexandria database).

Computed properties:
- Electronic total energy: -61.83 eV per cell
- Magnetization: 0.00 μB per formula unit

Cell: 3.813 8.468 10.629 Å, 100.24 90.00 90.00°
Fractional positions:
1 Pr 0.250 0.629 0.376
2 Pr 0.750 0.855 0.150
3 Pr 0.750 0.417 0.114
4 Pr 0.750 0.371 0.624
5 Pr 0.250 0.583 0.886
6 Pr 0.250 0.145 0.850
7 Tl 0.750 0.786 0.715
8 Tl 0.250 0.214 0.285
9 C 0.250 0.646 0.137
10 C 0.750 0.354 0.863
11 Cl 0.250 0.121 0.588
12 Cl 0.750 0.879 0.412



# Y2NiHPb

A relaxed Y2NiHPb crystal (PBE-GGA, the Alexandria database).

Computed properties:
- Electronic total energy: -27.57 eV per cell
- Magnetization: 0.17 μB per formula unit

Cell: 4.965 4.965 3.913 Å, 90.00 90.00 90.00°
Fractional positions:
1 Pb 0.500 0.500 0.500
2 Y 0.000 0.500 0.000
3 Y 0.500 0.000 0.000
4 H 0.000 0.000 0.000
5 Ni 0.000 0.000 0.500



# La4RuPb

A relaxed La4RuPb crystal (PBE-GGA, the Alexandria database).

Computed properties:
- Formation enthalpy at 0 K: 3.0 eV/f.u.
- Distance to the lowest polymorph of the same formula: 880 meV per atom
- Magnetization: 1.25 μB per formula unit

Cell: 6.323 6.323 6.323 Å, 60.00 60.00 60.00°
Fractional positions:
1 La 0.877 0.374 0.374
2 La 0.374 0.374 0.877
3 La 0.374 0.877 0.374
4 La 0.374 0.374 0.374
5 Ru 0.000 0.000 0.000
6 Pb 0.750 0.750 0.750



# Sm8Te4AuSe3

A relaxed Sm8Te4AuSe3 crystal (PBE-GGA, the Alexandria database).

Computed properties:
- Electronic total energy: -88.02 eV per cell
- Magnetization: 0.00 μB per formula unit

Cell: 8.602 8.724 8.601 Å, 119.53 120.00 90.00°
Fractional positions:
1 Sm 0.241 0.726 0.985
2 Sm 0.241 0.725 0.481
3 Sm 0.260 0.280 0.521
4 Sm 0.744 0.726 0.985
5 Sm 0.256 0.274 0.015
6 Sm 0.740 0.720 0.479
7 Sm 0.759 0.275 0.519
8 Sm 0.759 0.274 0.015
9 Te 0.500 0.000 0.000
10 Te 0.500 0.000 0.500
11 Te 0.000 0.000 0.000
12 Te 0.000 0.000 0.500
13 Au 0.000 0.500 0.000
14 Se 0.500 0.500 0.000
15 Se 0.500 0.500 0.500
16 Se 0.000 0.500 0.500



N(E_F) across the listed records, respectively: 4.69, 2.94, 5.06, 3.60, 8.97, 7.05 states/eV/f.u..